VASP calculation (GGA-PBE) on TiB2RhBr after structural relaxation.

Calculated values
**SG**: No. 123
**N(E_F)**: 1.076 states/eV per atom
**Formation energy without anion corrections**: 1.896 eV per atom
**Total DFT energy (no corrections)**: -4.1586 eV/atom

Lattice parameters (Å, degrees): 4.0677 4.6010 4.0677 90.00 90.00 90.00
Last column: nearest neighbours and their distance in Å.
Fractional coordinates of all 5 atoms:
Rh (0.5000, 0.5000, 0.5000)  4 Ti 2.88, 8 B 3.07
Br (0.0000, 0.0000, 0.0000)  4 B 2.03
Ti (0.0000, 0.5000, 0.0000)  2 Br 2.30
B (0.5000, 0.0000, 0.0000)  2 Br 2.03
B (0.0000, 0.0000, 0.5000)  2 Br 2.03